# ZnRe2Pb, optimized geometry, DFT PBE
data_ZnRe2Pb
_space_group_name_H-M_alt 'A m m 2'
_space_group_IT_number 38
_cell_length_a 3.060
_cell_length_b 3.063
_cell_length_c 16.453
_cell_angle_alpha 90.00
_cell_angle_beta 90.00
_cell_angle_gamma 90.00
loop_
_space_group_symop_operation_xyz
'x,y,z'
'-x,-y,z'
'-x,y,z'
'x,-y,z'
'x,y+1/2,z+1/2'
'-x,-y+1/2,z+1/2'
'-x,y+1/2,z+1/2'
'x,-y+1/2,z+1/2'
loop_
_atom_site_label
_atom_site_fract_x
_atom_site_fract_y
_atom_site_fract_z
Zn1 0.000 0.000 0.000
Re1 0.000 0.000 0.189
Re2 0.500 0.000 0.604
Pb1 0.500 0.000 0.828
# DFT total energy ... -28.61 eV per formula unit
# Volume ... 154.2 Å³/cell
# Distance to the lowest polymorph of the same formula ... 0 meV/atom
# DFT formation energy ... 316 meV/atom

---

# ZnRe2Pb, optimized geometry, DFT PBE
data_ZnRe2Pb
_space_group_name_H-M_alt 'R -3 m'
_space_group_IT_number 166
_space_group_name_Hall '-R 3 2"'
_cell_length_a 2.9965
_cell_length_b 2.9965
_cell_length_c 26.3382
_cell_angle_alpha 90.00
_cell_angle_beta 90.00
_cell_angle_gamma 120.00
loop_
_atom_site_label
_atom_site_fract_x
_atom_site_fract_y
_atom_site_fract_z
Zn1 0.0000 0.0000 0.0000
Re1 0.0000 0.0000 0.2547
Pb1 0.0000 0.0000 0.5000
# DFT total energy ... -26.09 eV per formula unit
# Volume ... 204.8 Å³/cell
# Distance to the lowest polymorph of the same formula ... 630 meV/atom
# DFT formation energy ... 946 meV/atom

---

# ZnRe2Pb, optimized geometry, DFT PBE
data_ZnRe2Pb
_space_group_name_H-M_alt 'I 4/m m m'
_space_group_IT_number 139
_space_group_name_Hall '-I 4 2'
_cell_length_a 3.949
_cell_length_b 3.949
_cell_length_c 8.769
_cell_angle_alpha 90.00
_cell_angle_beta 90.00
_cell_angle_gamma 90.00
loop_
_atom_site_label
_atom_site_fract_x
_atom_site_fract_y
_atom_site_fract_z
Zn1 0.000 0.000 0.000
Re1 0.000 0.500 0.250
Pb1 0.000 0.000 0.500
# DFT total energy ... -25.81 eV per formula unit
# Volume ... 136.8 Å³/cell
# Distance to the lowest polymorph of the same formula ... 701 meV/atom
# DFT formation energy ... 1017 meV/atom

---

# ZnRePb2, optimized geometry, DFT PBE
data_ZnRePb2
_space_group_name_H-M_alt 'I 4/m m m'
_space_group_IT_number 139
_space_group_name_Hall '-I 4 2'
_cell_length_a 4.542
_cell_length_b 4.542
_cell_length_c 8.160
_cell_angle_alpha 90.00
_cell_angle_beta 90.00
_cell_angle_gamma 90.00
loop_
_atom_site_label
_atom_site_fract_x
_atom_site_fract_y
_atom_site_fract_z
Zn1 0.000 0.000 0.000
Re1 0.000 0.000 0.500
Pb1 0.000 0.500 0.250
# DFT total energy ... -17.51 eV per formula unit
# Volume ... 168.3 Å³/cell
# DFT formation energy ... 907 meV/atom

---

# ZnRe2Pb, optimized geometry, DFT PBE
data_ZnRe2Pb
_space_group_name_H-M_alt 'C m m m'
_space_group_IT_number 65
_space_group_name_Hall '-C 2 2'
_cell_length_a 3.109
_cell_length_b 4.656
_cell_length_c 9.858
_cell_angle_alpha 90.00
_cell_angle_beta 90.00
_cell_angle_gamma 90.00
loop_
_atom_site_label
_atom_site_fract_x
_atom_site_fract_y
_atom_site_fract_z
Zn1 0.000 0.000 0.000
Re1 0.000 0.500 0.219
Pb1 0.000 0.000 0.500
# DFT total energy ... -25.97 eV per formula unit
# Volume ... 142.7 Å³/cell
# Distance to the lowest polymorph of the same formula ... 661 meV/atom
# DFT formation energy ... 977 meV/atom

---

# ZnRe2Pb, optimized geometry, DFT PBE
data_ZnRe2Pb
_space_group_name_H-M_alt 'R 3 m'
_space_group_IT_number 160
_space_group_name_Hall 'R 3 -2"'
_cell_length_a 2.9524
_cell_length_b 2.9524
_cell_length_c 28.7756
_cell_angle_alpha 90.00
_cell_angle_beta 90.00
_cell_angle_gamma 120.00
loop_
_atom_site_label
_atom_site_fract_x
_atom_site_fract_y
_atom_site_fract_z
Zn1 0.0000 0.0000 0.0000
Re1 0.0000 0.0000 0.4779
Re2 0.0000 0.0000 0.7416
Pb1 0.0000 0.0000 0.2359
# DFT total energy ... -28.18 eV per formula unit
# Volume ... 217.2 Å³/cell
# Distance to the lowest polymorph of the same formula ... 108 meV/atom
# DFT formation energy ... 424 meV/atom

---

# ZnRe2Pb, optimized geometry, DFT PBE
data_ZnRe2Pb
_space_group_name_H-M_alt 'C m m 2'
_space_group_IT_number 35
_cell_length_a 3.047
_cell_length_b 4.918
_cell_length_c 9.972
_cell_angle_alpha 90.00
_cell_angle_beta 90.00
_cell_angle_gamma 90.00
loop_
_space_group_symop_operation_xyz
'x,y,z'
'-x,-y,z'
'-x,y,z'
'x,-y,z'
'x+1/2,y+1/2,z'
'-x+1/2,-y+1/2,z'
'-x+1/2,y+1/2,z'
'x+1/2,-y+1/2,z'
loop_
_atom_site_label
_atom_site_fract_x
_atom_site_fract_y
_atom_site_fract_z
Zn1 0.000 0.000 0.000
Re1 0.000 0.000 0.573
Re2 0.000 0.500 0.779
Pb1 0.000 0.500 0.297
# DFT total energy ... -27.21 eV per formula unit
# Volume ... 149.4 Å³/cell
# Distance to the lowest polymorph of the same formula ... 351 meV/atom
# DFT formation energy ... 668 meV/atom

---

# ZnRePb2, optimized geometry, DFT PBE
data_ZnRePb2
_space_group_name_H-M_alt 'C m m 2'
_space_group_IT_number 35
_cell_length_a 3.499
_cell_length_b 5.086
_cell_length_c 10.299
_cell_angle_alpha 90.00
_cell_angle_beta 90.00
_cell_angle_gamma 90.00
loop_
_space_group_symop_operation_xyz
'x,y,z'
'-x,-y,z'
'-x,y,z'
'x,-y,z'
'x+1/2,y+1/2,z'
'-x+1/2,-y+1/2,z'
'-x+1/2,y+1/2,z'
'x+1/2,-y+1/2,z'
loop_
_atom_site_label
_atom_site_fract_x
_atom_site_fract_y
_atom_site_fract_z
Zn1 0.000 0.000 0.000
Re1 0.000 0.500 0.185
Pb1 0.000 0.000 0.408
Pb2 0.000 0.500 0.764
# DFT total energy ... -18.51 eV per formula unit
# Volume ... 183.3 Å³/cell
# DFT formation energy ... 658 meV/atom

---

> What is the formula in the sixth record?

ZnRe2Pb